Here is a relaxed RbAuBr2 crystal from Alexandria. Energies are from PBE.

Geometry as POSCAR:
```
RbAuBr2
1.0
0.000 3.868 3.868
3.868 0.000 3.868
3.868 3.868 0.000
Rb Au Br
1 1 2
Cartesian
0.000 0.000 0.000 Rb
3.868 3.868 3.868 Au
1.934 1.934 1.934 Br
5.803 5.803 5.803 Br
```

Calculated values
**D(E_F)**: 0.044 states/eV per atom
**E_tot**: -2.417 eV per atom
**Polymorph energy (0 for the lowest one)**: 425 meV per atom
**Symmetry**: Fm-3m (225)
**E_form (uncorrected)**: -0.519 eV per atom

---

Here is a relaxed Pr2Y7Ho3 crystal from Alexandria. Energies are from PBE.

Geometry as POSCAR:
```
Pr2Y7Ho3
1.0
5.817 0.000 0.000
0.000 3.611 0.000
-1.202 0.000 18.788
Pr Y Ho
2 7 3
Cartesian
0.834 0.000 5.527 Pr
3.782 0.000 13.261 Pr
0.870 1.806 2.656 Y
0.850 0.000 8.684 Y
0.859 0.000 15.486 Y
2.909 1.806 0.000 Y
3.757 0.000 3.302 Y
3.766 0.000 10.104 Y
3.746 1.806 16.132 Y
0.000 0.000 0.000 Ho
0.872 1.806 11.842 Ho
3.743 1.806 6.946 Ho
```

Calculated values
**D(E_F)**: 1.273 states/eV per atom
**E_tot**: -5.622 eV per atom
**Polymorph energy (0 for the lowest one)**: 0 meV per atom
**Symmetry**: P2/m (10)
**Energy of formation**: 0.090 eV per atom

---

Here is a relaxed Sc6Tl2NO crystal from Alexandria. Energies are from PBE.

Geometry as POSCAR:
```
Sc6Tl2NO
1.0
0.000 4.473 4.473
4.473 0.000 4.473
4.473 4.473 0.000
Sc Tl N O
6 2 1 1
Cartesian
4.473 4.473 2.209 Sc
4.473 2.209 4.473 Sc
6.737 4.473 4.473 Sc
2.209 4.473 4.473 Sc
4.473 6.737 4.473 Sc
4.473 4.473 6.737 Sc
2.236 2.236 2.236 Tl
6.709 6.709 6.709 Tl
0.000 0.000 0.000 N
4.473 4.473 4.473 O
```

Calculated values
**D(E_F)**: 0.448 states/eV per atom
**E_tot**: -6.847 eV per atom
**Symmetry**: Fm-3m (225)
**E_form (uncorrected)**: -1.246 eV per atom

---

Here is a relaxed CrTcOsW crystal from Alexandria. Energies are from PBE.

Geometry as POSCAR:
```
CrTcOsW
1.0
0.000 3.083 3.083
3.083 0.000 3.083
3.083 3.083 0.000
Cr Tc Os W
1 1 1 1
Cartesian
0.000 0.000 0.000 Cr
4.625 4.625 4.625 Tc
1.542 1.542 1.542 Os
3.083 3.083 3.083 W
```

Calculated values
**D(E_F)**: 1.295 states/eV per atom
**E_tot**: -10.928 eV per atom
**Symmetry**: F-43m (216)
**Energy of formation**: 0.115 eV per atom

---

Here is a relaxed LaPmSiBr crystal from Alexandria. Energies are from PBE.

Geometry as POSCAR:
```
LaPmSiBr
1.0
2.153 1.243 7.357
-2.153 1.243 7.357
0.000 -2.486 7.357
La Pm Si Br
1 1 1 1
Cartesian
0.000 0.000 0.000 La
0.000 0.000 10.481 Pm
0.000 0.000 16.328 Si
0.000 0.000 5.191 Br
```

Calculated values
**D(E_F)**: 0.425 states/eV per atom
**E_tot**: -5.306 eV per atom
**Polymorph energy (0 for the lowest one)**: 0 meV per atom
**Symmetry**: R3m (160)
**E_form (uncorrected)**: -1.113 eV per atom

---

Here is a relaxed PaAlCO crystal from Alexandria. Energies are from PBE.

Geometry as POSCAR:
```
PaAlCO
1.0
3.372 0.000 0.000
-1.686 2.920 0.000
0.000 0.000 11.165
Pa Al C O
2 2 2 2
Cartesian
0.000 1.947 0.000 Pa
1.686 0.973 5.583 Pa
0.000 0.000 2.331 Al
0.000 0.000 7.914 Al
0.000 1.947 7.194 C
1.686 0.973 1.611 C
0.000 0.000 4.150 O
0.000 0.000 9.733 O
```

Calculated values
**D(E_F)**: 0.221 states/eV per atom
**E_tot**: -8.243 eV per atom
**Symmetry**: P6_3mc (186)
**E_form (uncorrected)**: -1.388 eV per atom

---

Here is a relaxed SrInSi crystal from Alexandria. Energies are from PBE.

Geometry as POSCAR:
```
SrInSi
1.0
6.516 0.000 0.000
0.000 4.465 0.000
-3.111 0.000 6.357
Sr In Si
2 2 2
Cartesian
0.085 1.116 2.231 Sr
3.320 3.349 4.127 Sr
-0.899 1.116 5.689 In
4.304 3.349 0.668 In
0.130 3.349 4.484 Si
3.276 1.116 1.874 Si
```

Calculated values
**D(E_F)**: 0.728 states/eV per atom
**E_tot**: -3.494 eV per atom
**Symmetry**: P2_1/m (11)
**E_form (uncorrected)**: -0.212 eV per atom

---

Here is a relaxed Nd3Dy6Tm2Th crystal from Alexandria. Energies are from PBE.

Geometry as POSCAR:
```
Nd3Dy6Tm2Th
1.0
3.094 -5.357 0.000
3.094 5.357 0.000
-2.067 0.000 11.657
Nd Dy Tm Th
3 6 2 1
Cartesian
0.000 0.000 0.000 Nd
3.094 1.788 0.000 Nd
3.094 -1.788 0.000 Nd
1.036 1.770 2.967 Dy
0.018 0.000 8.690 Dy
1.036 -1.770 2.967 Dy
3.085 1.770 8.690 Dy
4.103 0.000 2.967 Dy
3.085 -1.770 8.690 Dy
2.060 3.570 5.828 Tm
2.060 -3.570 5.828 Tm
2.060 0.000 5.828 Th
```

Calculated values
**D(E_F)**: 1.305 states/eV per atom
**E_tot**: -4.836 eV per atom
**Symmetry**: C2/m (12)
**Energy of formation**: 0.021 eV per atom